# 1
{
  "formula": "Na2InPbF8",
  "functional": "PBE",
  "state": "optimized geometry",
  "cell": [[-1.8043, 1.3869, -3.1051], [1.8886, -4.2752, -2.9933], [-6.2449, -4.0371, 1.8256]],
  "species": ["F", "F", "F", "F", "F", "F", "F", "F", "Pb", "Na", "Na", "In"],
  "frac_coords": [[0.0007, 0.7677, 0.7639], [0.4997, 0.7634, 0.5000], [0.9993, 0.2323, 0.2361], [0.9993, 0.2323, 0.7639], [0.5009, 0.7770, 0.0000], [0.0007, 0.7677, 0.2361], [0.4991, 0.2230, 0.0000], [0.5003, 0.2366, 0.5000], [0.0000, 0.0000, 0.5000], [0.5000, 0.5000, 0.2361], [0.5000, 0.5000, 0.7639], [0.0000, 0.0000, 0.0000]]
}

***

# 2
{
  "formula": "NaInPbF6",
  "functional": "PBE",
  "state": "optimized geometry",
  "cell": [[-2.4402, 4.7173, 0.5231], [-4.5691, -2.1757, -1.6943], [-2.6068, -2.4813, 10.2163]],
  "species": ["F", "F", "F", "F", "F", "F", "F", "F", "F", "F", "F", "F", "In", "In", "Na", "Na", "Pb", "Pb"],
  "frac_coords": [[0.1781, 0.8219, 0.4838], [0.1900, 0.8100, 0.1885], [0.2186, 0.7814, 0.8291], [0.8100, 0.1900, 0.1885], [0.7814, 0.2186, 0.8291], [0.8219, 0.1781, 0.4838], [0.3219, 0.3219, 0.9838], [0.2814, 0.2814, 0.3291], [0.6900, 0.6900, 0.6885], [0.6781, 0.6781, 0.9838], [0.3100, 0.3100, 0.6885], [0.7186, 0.7186, 0.3291], [0.5000, 0.5000, 0.8323], [0.0000, 0.0000, 0.3323], [0.0000, 0.0000, 0.6674], [0.5000, 0.5000, 0.1674], [0.5000, 0.5000, 0.4974], [0.0000, 0.0000, 0.9974]]
}

***

# 3
{
  "formula": "Na2InPbF",
  "functional": "PBE",
  "state": "optimized geometry",
  "cell": [[4.5477, 0.0000, 0.0000], [0.0000, 4.5477, 0.0000], [0.0000, 0.0000, 5.6987]],
  "species": ["In", "Na", "Na", "Pb", "F"],
  "frac_coords": [[0.0000, 0.0000, 0.5000], [0.5000, 0.0000, 0.0000], [0.0000, 0.5000, 0.0000], [0.5000, 0.5000, 0.5000], [0.0000, 0.0000, 0.0000]]
}

***

# 4
{
  "formula": "Na2PrInF8",
  "functional": "PBE",
  "state": "optimized geometry",
  "cell": [[-3.4326, -1.6759, 0.6500], [1.0675, -0.0393, 5.4829], [-3.2618, 6.9465, 0.6855]],
  "species": ["F", "F", "F", "F", "F", "F", "F", "F", "Na", "Na", "In", "Pr"],
  "frac_coords": [[0.5003, 0.2458, 0.5000], [0.5010, 0.7792, 0.0000], [0.4997, 0.7542, 0.5000], [0.0008, 0.7692, 0.7662], [0.9992, 0.2308, 0.7662], [0.9992, 0.2308, 0.2338], [0.0008, 0.7692, 0.2338], [0.4990, 0.2208, 0.0000], [0.5000, 0.5000, 0.2329], [0.5000, 0.5000, 0.7671], [0.0000, 0.0000, 0.0000], [0.0000, 0.0000, 0.5000]]
}

***

# 5
{
  "formula": "RbNaInF3",
  "functional": "PBE",
  "state": "optimized geometry",
  "cell": [[4.9396, 0.0000, 0.0000], [-2.4698, 7.5809, -0.2037], [0.0000, -2.1960, 6.9662]],
  "species": ["In", "In", "F", "F", "F", "F", "F", "F", "Rb", "Rb", "Na", "Na"],
  "frac_coords": [[0.0541, 0.1083, 0.2791], [0.9459, 0.8917, 0.7209], [0.1886, 0.3773, 0.1557], [0.4222, 0.8445, 0.7111], [0.1791, 0.3582, 0.5603], [0.8114, 0.6227, 0.8443], [0.5778, 0.1555, 0.2889], [0.8209, 0.6418, 0.4397], [0.3550, 0.7100, 0.0206], [0.6450, 0.2900, 0.9794], [0.2997, 0.5994, 0.4446], [0.7003, 0.4006, 0.5554]]
}

***

# 6
{
  "formula": "Rb2NaInF6",
  "functional": "PBE",
  "state": "optimized geometry",
  "cell": [[6.2520, 0.0000, 0.0000], [3.1260, 5.4144, 0.0000], [3.1260, 1.8048, 5.1047]],
  "species": ["F", "F", "F", "F", "F", "F", "Rb", "Rb", "Na", "In"],
  "frac_coords": [[0.2386, 0.7614, 0.7614], [0.7614, 0.2386, 0.2386], [0.2386, 0.2386, 0.7614], [0.7614, 0.2386, 0.7614], [0.7614, 0.7614, 0.2386], [0.2386, 0.7614, 0.2386], [0.7500, 0.7500, 0.7500], [0.2500, 0.2500, 0.2500], [0.5000, 0.5000, 0.5000], [0.0000, 0.0000, 0.0000]]
}

***

# 7
{
  "formula": "RbNaInF6",
  "functional": "PBE",
  "state": "optimized geometry",
  "cell": [[-6.0831, -3.3492, 0.8944], [3.9799, -6.4773, 2.8128], [0.6774, 7.0459, 3.5869]],
  "species": ["F", "F", "F", "F", "F", "F", "F", "F", "F", "F", "F", "F", "Na", "Na", "Rb", "Rb", "In", "In"],
  "frac_coords": [[0.5863, 0.9127, 0.7526], [0.5863, 0.3399, 0.7526], [0.5561, 0.3061, 0.1121], [0.8337, 0.0873, 0.2474], [0.8803, 0.1303, 0.7606], [0.4137, 0.6601, 0.2474], [0.4137, 0.0873, 0.2474], [0.1663, 0.3399, 0.7526], [0.1663, 0.9127, 0.7526], [0.4439, 0.6939, 0.8879], [0.1197, 0.8697, 0.2394], [0.8337, 0.6601, 0.2474], [0.5000, 0.0000, 0.5000], [0.0000, 0.0000, 0.5000], [0.1209, 0.3709, 0.2419], [0.8791, 0.6291, 0.7581], [0.5000, 0.0000, 0.0000], [0.5000, 0.5000, 0.0000]]
}

***

# 8
{
  "formula": "Rb2NaInF",
  "functional": "PBE",
  "state": "optimized geometry",
  "cell": [[5.7291, 0.0000, 0.0000], [0.0000, 5.7291, 0.0000], [0.0000, 0.0000, 5.2787]],
  "species": ["Na", "F", "Rb", "Rb", "In"],
  "frac_coords": [[0.0000, 0.0000, 0.5000], [0.0000, 0.0000, 0.0000], [0.5000, 0.0000, 0.0000], [0.0000, 0.5000, 0.0000], [0.5000, 0.5000, 0.5000]]
}

***

Formation energy (no corrections): -2.453; -2.556; -0.998; -3.118; -2.306; -2.756; -2.318; -0.934 (eV per atom)
Density: 5.3; 4.9; 5.5; 4.5; 3.6; 4.1; 3.4; 3.1 (g/cm3)